Record 1
DFT (PBEsol) results for an optimized crystal structure of CuIr2Os.

Structure (POSCAR):
```
CuIr2Os
1.0
0.0000 3.0261 3.0261
3.0261 0.0000 3.0261
3.0261 3.0261 0.0000
Cu Ir Os
1 2 1
Direct
0.0000 0.0000 0.0000
0.2500 0.2500 0.2500
0.7500 0.7500 0.7500
0.5000 0.5000 0.5000
```

Calculated values
Total magnetic moment = 2.0 Bohr magnetons per cell
V = 13.86 A^3/atom
Distance to the lowest polymorph of the same formula = 473 meV per atom
SG = Fm-3m, No. 225
Formation enthalpy at 0 K = 0.52 eV per atom
Mass density = 19.12 g/cm3


Record 2
DFT (PBEsol) results for an optimized crystal structure of AlCo3H.

Structure (POSCAR):
```
AlCo3H
1.0
3.5404 0.0000 0.0000
0.0000 3.5404 0.0000
0.0000 0.0000 3.5404
Al Co H
1 3 1
Direct
0.0000 0.0000 0.0000
0.0000 0.5000 0.5000
0.5000 0.0000 0.5000
0.5000 0.5000 0.0000
0.5000 0.5000 0.5000
```

Calculated values
Total magnetic moment = 0.1 Bohr magnetons per cell
V = 8.88 A^3/atom
SG = Pm-3m, No. 221
Mass density = 7.66 g/cm3
DFT total energy = -6.37 eV/atom


Look up the mass density of the first one.
19.12 g/cm3


Which of these has the lowest V?
AlCo3H


Copy entry 1 word for word.
DFT (PBEsol) results for an optimized crystal structure of CuIr2Os.

Structure (POSCAR):
```
CuIr2Os
1.0
0.0000 3.0261 3.0261
3.0261 0.0000 3.0261
3.0261 3.0261 0.0000
Cu Ir Os
1 2 1
Direct
0.0000 0.0000 0.0000
0.2500 0.2500 0.2500
0.7500 0.7500 0.7500
0.5000 0.5000 0.5000
```

Calculated values
Total magnetic moment = 2.0 Bohr magnetons per cell
V = 13.86 A^3/atom
Distance to the lowest polymorph of the same formula = 473 meV per atom
SG = Fm-3m, No. 225
Formation enthalpy at 0 K = 0.52 eV per atom
Mass density = 19.12 g/cm3